w:
A plane-wave DFT calculation with PBE was carried out for an optimized crystal structure of MnOsRh6.

Cell: 4.8898 4.9018 4.9023 Å, 93.74 93.86 93.93°
Last column: nearest neighbours and their distance in Å.
Fractional positions:
Mn: 0.0000 0.0000 0.0000  12 Rh 2.62-2.88
Os: 0.5000 0.5000 0.5000  12 Rh 2.68-2.82
Rh: 0.0291 0.4578 0.7489  4 Rh 2.50-2.70, 1 Mn 2.63, 1 Os 2.68
Rh: 0.2511 0.9694 0.5437  4 Rh 2.50-2.70, 1 Mn 2.62, 1 Os 2.68
Rh: 0.4581 0.7485 0.0293  4 Rh 2.50-2.70, 1 Mn 2.63, 1 Os 2.68
Rh: 0.5419 0.2515 0.9707  4 Rh 2.50-2.70, 1 Mn 2.63, 1 Os 2.68
Rh: 0.7489 0.0306 0.4563  4 Rh 2.50-2.70, 1 Mn 2.62, 1 Os 2.68
Rh: 0.9709 0.5422 0.2511  4 Rh 2.50-2.70, 1 Mn 2.63, 1 Os 2.68

Computed properties:
* magnetic moment: 2.77 μB per cell
* ρ: 12.28 Mg/m³

=====

x:
A plane-wave DFT calculation with PBE was carried out for an optimized crystal structure of MnOsRh6.

Cell: 5.4200 5.4200 3.8413 Å, 90.00 90.00 90.00°
Last column: nearest neighbours and their distance in Å.
Fractional positions:
Mn: 0.0000 0.0000 0.0000  12 Rh 2.71-2.73
Os: 0.5000 0.5000 0.0000  12 Rh 2.70-2.71
Rh: 0.0000 0.5000 0.0000  2 Mn 2.71, 2 Os 2.71, 8 Rh 2.71
Rh: 0.2533 0.2533 0.5000  8 Rh 2.67-2.75, 2 Os 2.70, 2 Mn 2.73
Rh: 0.2533 0.7467 0.5000  8 Rh 2.67-2.75, 2 Os 2.70, 2 Mn 2.73
Rh: 0.5000 0.0000 0.0000  2 Mn 2.71, 2 Os 2.71, 8 Rh 2.71
Rh: 0.7467 0.2533 0.5000  8 Rh 2.67-2.75, 2 Os 2.70, 2 Mn 2.73
Rh: 0.7467 0.7467 0.5000  8 Rh 2.67-2.75, 2 Os 2.70, 2 Mn 2.73

Computed properties:
* magnetic moment: 3.71 μB per cell
* ρ: 12.69 Mg/m³

=====

Question: of the structures shown, which is the least stable? Reply: w.